Density functional theory data (PBE) for a geometry-optimized TmCd2Pt5 structure.

Calculated values
The size of the total moment is 0.00 μB per formula unit. The value obtained for the formation energy is -0.66 eV per atom.

```
data_TmCd2Pt5
_chemical_formula_sum 'Tm2 Cd4 Pt10'
_space_group_name_H-M_alt 'I 4/m m m'
_space_group_IT_number 139
_space_group_name_Hall '-I 4 2'
_cell_length_a 4.1587
_cell_length_b 4.1587
_cell_length_c 16.1331
_cell_angle_alpha 90.00
_cell_angle_beta 90.00
_cell_angle_gamma 90.00
loop_
_atom_site_label
_atom_site_type_symbol
_atom_site_fract_x
_atom_site_fract_y
_atom_site_fract_z
Tm1 Tm 0.0000 0.0000 0.0000
Cd1 Cd 0.0000 0.0000 0.2515
Pt1 Pt 0.0000 0.0000 0.5000
Pt2 Pt 0.0000 0.5000 0.1252
```